First-principles (PBE-GGA) data for SrZrMn2 after structural relaxation, as listed in Alexandria.

The electronic total energy is -6.384 eV/atom. The value obtained for the calculated formation energy is 0.76 eV per atom.

It has space group F-43m (No. 216), with a = 7.043 Å, b = 7.043 Å, c = 7.043 Å, α = 90.00°, β = 90.00° and γ = 90.00°. The distinct sites, in fractional coordinates, are Sr at (0.000, 0.000, 0.000), Zr at (0.250, 0.250, 0.250), Mn at (0.000, 0.000, 0.500) and Mn at (0.250, 0.250, 0.750).